TmMnIO6 | PBE+U | relaxed

```
TmMnIO6
1.0
5.481 0.000 0.000
-2.740 4.746 0.000
0.000 0.000 9.067
I Tm O Mn
2 2 12 2
direct
0.667 0.333 0.250
0.333 0.667 0.750
0.333 0.667 0.250
0.667 0.333 0.750
0.956 0.332 0.132
0.332 0.376 0.868
0.956 0.624 0.368
0.668 0.044 0.368
0.044 0.668 0.868
0.624 0.668 0.632
0.332 0.956 0.632
0.044 0.376 0.632
0.624 0.956 0.868
0.668 0.624 0.132
0.376 0.044 0.132
0.376 0.332 0.368
0.000 0.000 0.500
0.000 0.000 0.000
```

Results
Fermi-level density of states   0.000 states/eV/atom
Total DFT energy (no corrections)   -113.755 eV/cell